# Ti2InF8

Ti2InF8 after structural relaxation (PBE-GGA, Alexandria).

Cell lengths 5.9558, 5.3622, 5.3622 Å; angles 72.64, 95.22, 95.22 degrees
Closest atoms and distances in Å follow each position.
Fractional coordinates of all 11 atoms:
1 F 0.6023 0.0428 0.6724  2 Ti 2.02-2.05, 1 F 2.26
2 F 0.8370 0.2574 0.2574  1 Ti 1.85
3 F 0.3024 0.4554 0.4554  2 Ti 2.00-2.08
4 F 0.3977 0.3276 0.9572  2 Ti 2.02-2.05, 1 F 2.26
5 F 0.6976 0.5446 0.5446  2 Ti 2.00-2.08
6 F 0.3977 0.9572 0.3276  2 Ti 2.02-2.05, 1 F 2.26
7 F 0.1630 0.7426 0.7426  1 Ti 1.85
8 F 0.6023 0.6724 0.0428  2 Ti 2.02-2.05, 1 F 2.26
9 Ti 0.5477 0.3147 0.3147  6 F 1.85-2.05
10 Ti 0.4523 0.6853 0.6853  6 F 1.85-2.05
11 In 0.0000 0.0000 0.0000  6 F 2.53-2.80

Summary:
Calculated total energy, eV per atom: -6.04
E_form (uncorrected), eV/atom: -2.99
Symmetry: No. 12

# YZr2Ga

YZr2Ga after structural relaxation (PBE-GGA, Alexandria).

Cell lengths 3.3436, 3.3436, 9.9847 Å; angles 80.46, 80.46, 60.12 degrees
Closest atoms and distances in Å follow each position.
Fractional coordinates of all 4 atoms:
1 Y 0.4997 0.4997 0.5013  6 Zr 3.32-3.35, 6 Y 3.34-3.35
2 Zr 0.2585 0.2585 0.2221  3 Ga 2.91
3 Zr 0.0754 0.0754 0.7768  3 Ga 2.91-2.92
4 Ga 0.6664 0.6664 0.9998  6 Zr 2.91-2.92

Summary:
Calculated total energy, eV per atom: -6.70
Energy relative to the elements, meV/atom: -51
Symmetry: No. 8

# AlTc

AlTc after structural relaxation (PBE-GGA, Alexandria).

Cell lengths 5.0086, 5.0086, 6.2637 Å; angles 72.13, 72.13, 35.67 degrees
Closest atoms and distances in Å follow each position.
Fractional coordinates of all 6 atoms:
1 Tc 0.6918 0.6918 0.1338  5 Al 2.60-2.87, 4 Tc 2.65
2 Tc 0.0420 0.0420 0.9377  7 Al 2.60-2.88, 2 Tc 2.65
3 Tc 0.0110 0.0110 0.4488  6 Al 2.57-2.66, 2 Tc 2.65
4 Al 0.3614 0.3614 0.7923  7 Tc 2.65-2.88, 4 Al 2.80-2.93
5 Al 0.3746 0.3746 0.2515  7 Tc 2.57-2.87, 2 Al 2.81
6 Al 0.6859 0.6859 0.6026  4 Tc 2.61-2.66, 4 Al 2.80-2.81

Summary:
Calculated total energy, eV per atom: -7.39
Energy relative to the elements, meV/atom: -332
Symmetry: No. 8

# Mg2AgSb

Mg2AgSb after structural relaxation (PBE-GGA, Alexandria).

Cell lengths 3.9183, 3.9183, 5.8555 Å; angles 90.00, 90.00, 90.00 degrees
Closest atoms and distances in Å follow each position.
Fractional coordinates of all 4 atoms:
1 Ag 0.5000 0.5000 0.7845  6 Mg 2.83-3.03
2 Sb 0.0000 0.0000 0.4781  6 Mg 2.88-3.03
3 Mg 0.0000 0.0000 0.9698  2 Sb 2.88-2.98, 4 Ag 2.98
4 Mg 0.5000 0.5000 0.2676  2 Ag 2.83-3.03, 4 Sb 3.03

Summary:
Calculated total energy, eV per atom: -2.66
E_form (uncorrected), eV/atom: -0.12
Symmetry: No. 99

# LaV2B

LaV2B after structural relaxation (PBE-GGA, Alexandria).

Cell lengths 6.2618, 6.2618, 6.2692 Å; angles 60.04, 60.04, 90.00 degrees
Closest atoms and distances in Å follow each position.
Fractional coordinates of all 8 atoms:
1 B 0.5000 0.5000 0.0000  4 V 1.92
2 B 0.2500 0.7500 0.5000  4 V 1.92
3 V 0.8750 0.6250 0.7500  2 B 1.92
4 V 0.3750 0.6250 0.7500  2 B 1.92
5 V 0.3750 0.1250 0.2500  2 B 1.92
6 V 0.3750 0.6250 0.2500  2 B 1.92
7 La 0.7500 0.2500 0.5000  12 V 3.67-3.68, 4 La 3.84, 4 B 3.84
8 La 0.0000 0.0000 0.0000  12 V 3.67-3.68, 4 B 3.84, 4 La 3.84

Summary:
Calculated total energy, eV per atom: -6.76
Energy relative to the elements, meV/atom: 702
Symmetry: No. 141

# Ba4MnNi

Ba4MnNi after structural relaxation (PBE-GGA, Alexandria).

Cell lengths 7.1084, 7.1084, 7.1084 Å; angles 60.00, 60.00, 60.00 degrees
Closest atoms and distances in Å follow each position.
Fractional coordinates of all 6 atoms:
1 Ni 0.0000 0.0000 0.0000  12 Ba 4.17, 4 Mn 4.35
2 Mn 0.7500 0.7500 0.7500  12 Ba 4.17, 4 Ni 4.35
3 Ba 0.3745 0.3745 0.8764  6 Ba 3.54-3.57
4 Ba 0.3745 0.8764 0.3745  6 Ba 3.54-3.57
5 Ba 0.3745 0.3745 0.3745  6 Ba 3.54-3.57
6 Ba 0.8764 0.3745 0.3745  6 Ba 3.54-3.57

Summary:
Calculated total energy, eV per atom: -2.69
Energy relative to the elements, meV/atom: 1085
Symmetry: No. 216

Which formula does entry 5 have? LaV2B

What is the calculated total energy in the second record? -6.70 eV per atom